# 1
First-principles (PBE) data for crystalline Nb2Zn3Pt at its relaxed geometry, as listed in Alexandria via LeMat-Bulk.

Results
- uncorrected energy (eV per atom) = -5.3052
- energy of formation from the pure elements (eV/atom) = -0.30
- spin magnetization (μB per cell) = 0.00
- symmetry = No. 194

a = 5.075 Å, b = 5.075 Å, c = 8.314 Å
α = 90.00°, β = 90.00°, γ = 120.00°
Atoms (fractional coordinates):
Nb 0.667 0.333 0.433
Nb 0.333 0.667 0.567
Nb 0.333 0.667 0.933
Nb 0.667 0.333 0.067
Zn 0.172 0.344 0.250
Zn 0.344 0.172 0.750
Zn 0.828 0.656 0.750
Zn 0.172 0.828 0.250
Zn 0.828 0.172 0.750
Zn 0.656 0.828 0.250
Pt 0.000 0.000 0.500
Pt 0.000 0.000 0.000

---

# 2
First-principles (PBE) data for crystalline Pm8H2Pb3 at its relaxed geometry, as listed in Alexandria via LeMat-Bulk.

Results
- uncorrected energy (eV per atom) = -4.6290
- spin magnetization (μB per cell) = 2.64
- symmetry = No. 166

a = 6.775 Å, b = 6.775 Å, c = 10.027 Å
α = 70.25°, β = 70.25°, γ = 60.00°
Atoms (fractional coordinates):
Pm 0.683 0.683 0.952
Pm 0.317 0.317 0.048
Pm 0.228 0.730 0.312
Pm 0.730 0.228 0.312
Pm 0.730 0.730 0.312
Pm 0.270 0.772 0.688
Pm 0.772 0.270 0.688
Pm 0.270 0.270 0.688
H 0.603 0.603 0.190
H 0.397 0.397 0.810
Pb 0.000 0.000 0.000
Pb 0.798 0.798 0.607
Pb 0.202 0.202 0.393

---

# 3
First-principles (PBE) data for crystalline Na2HoScS4 at its relaxed geometry, as listed in Alexandria via LeMat-Bulk.

Results
- uncorrected energy (eV per atom) = -5.5461
- spin magnetization (μB per cell) = 0.00
- symmetry = No. 10
- ΔE_f (raw) (eV/atom) = -1.789

a = 3.872 Å, b = 6.701 Å, c = 7.021 Å
α = 108.55°, β = 90.00°, γ = 90.00°
Atoms (fractional coordinates):
Na 0.500 0.000 0.500
Na 0.000 0.500 0.500
Ho 0.500 0.500 0.000
Sc 0.000 0.000 0.000
S 0.500 0.230 0.218
S 0.500 0.770 0.782
S 0.000 0.249 0.777
S 0.000 0.751 0.223

---

# 4
First-principles (PBE) data for crystalline Si7Te5 at its relaxed geometry, as listed in Alexandria via LeMat-Bulk.

Results
- uncorrected energy (eV per atom) = -4.1563
- spin magnetization (μB per cell) = 0.00
- symmetry = No. 107
- ΔE_f (raw) (eV/atom) = 0.316

a = 7.425 Å, b = 7.425 Å, c = 7.425 Å
α = 100.66°, β = 100.66°, γ = 129.05°
Atoms (fractional coordinates):
Si 0.629 0.629 0.000
Si 0.349 0.849 0.500
Si 0.849 0.349 0.500
Si 0.603 0.909 0.307
Si 0.603 0.296 0.693
Si 0.296 0.603 0.693
Si 0.909 0.603 0.307
Te 0.227 0.227 0.000
Te 0.839 0.279 0.000
Te 0.279 0.839 0.000
Te 0.839 0.839 0.560
Te 0.279 0.279 0.440

---

# 5
First-principles (PBE) data for crystalline NbBr at its relaxed geometry, as listed in Alexandria via LeMat-Bulk.

Results
- uncorrected energy (eV per atom) = -5.9367
- spin magnetization (μB per cell) = 0.00
- symmetry = No. 176
- ΔE_f (raw) (eV/atom) = -0.065

a = 10.016 Å, b = 10.015 Å, c = 3.153 Å
α = 90.00°, β = 90.00°, γ = 120.00°
Atoms (fractional coordinates):
Nb 0.842 0.366 0.250
Nb 0.475 0.842 0.750
Nb 0.634 0.475 0.250
Nb 0.158 0.634 0.750
Nb 0.525 0.158 0.250
Nb 0.366 0.525 0.750
Br 0.715 0.043 0.250
Br 0.672 0.715 0.750
Br 0.957 0.672 0.250
Br 0.285 0.957 0.750
Br 0.328 0.285 0.250
Br 0.043 0.328 0.750

---

# 6
First-principles (PBE) data for crystalline Sm5Y4Mg at its relaxed geometry, as listed in Alexandria via LeMat-Bulk.

Results
- uncorrected energy (eV per atom) = -5.1068
- energy of formation from the pure elements (eV/atom) = 0.00
- spin magnetization (μB per cell) = 0.00
- symmetry = No. 123

a = 3.622 Å, b = 3.622 Å, c = 24.565 Å
α = 90.00°, β = 90.00°, γ = 90.00°
Atoms (fractional coordinates):
Sm 0.500 0.500 0.089
Sm 0.500 0.500 0.294
Sm 0.500 0.500 0.500
Sm 0.500 0.500 0.706
Sm 0.500 0.500 0.911
Y 0.000 0.000 0.191
Y 0.000 0.000 0.397
Y 0.000 0.000 0.603
Y 0.000 0.000 0.809
Mg 0.000 0.000 0.000